# 1
Entry from the Alexandria database: a relaxed TaSb2Cl crystal (PBE-GGA).

**Crystal system**: tetragonal
**Formation energy (no corrections)**: 0.503 eV/atom
**Total magnetization**: 0.000 μB per atom
**Excess energy over the best structure of this formula in the dataset**: 674 meV per atom

Lattice parameters (Å, degrees): 6.5535 6.5535 13.2413 90.00 90.00 90.00
Space group I-42d (No. 122)
Unique sites:
Ta  0.0000  0.0000  0.0000 x4
Sb  0.1933  0.2500  0.1250 x8
Cl  0.0000  0.0000  0.5000 x4

# 2
Entry from the Alexandria database: a relaxed TmSc2Pd crystal (PBE-GGA).

**Crystal system**: tetragonal
**Formation energy**: -1.61 eV/f.u.
**Total magnetization**: 0.001 μB per atom
**Excess energy over the best structure of this formula in the dataset**: 63 meV per atom

Lattice parameters (Å, degrees): 3.3848 3.3848 7.9199 90.00 90.00 90.00
Space group P4/mmm (No. 123)
Unique sites:
Tm  0.0000  0.0000  0.0000 x1
Sc  0.5000  0.5000  0.2998 x2
Pd  0.0000  0.0000  0.5000 x1

# 3
Entry from the Alexandria database: a relaxed PrSm5S6 crystal (PBE-GGA).

**Crystal system**: monoclinic
**Formation energy (no corrections)**: -2.026 eV/atom
**Total magnetization**: 0.000 μB per atom

Lattice parameters (Å, degrees): 6.9695 12.1053 6.9641 90.00 109.69 90.00
Space group C2/m (No. 12)
Unique sites:
Pr  0.0000  0.0000  0.0000 x2
Sm  0.0000  0.1644  0.5000 x4
Sm  0.0000  0.3339  0.0000 x4
Sm  0.0000  0.5000  0.5000 x2
S  0.2464  0.3307  0.7466 x8
S  0.2457  0.5000  0.2516 x4

# 4
Entry from the Alexandria database: a relaxed GdYIrRh crystal (PBE-GGA).

**Crystal system**: cubic
**Formation energy**: -3.24 eV/f.u.
**Total magnetization**: 1.737 μB per atom

Lattice parameters (Å, degrees): 6.8959 6.8959 6.8959 90.00 90.00 90.00
Space group F-43m (No. 216)
Unique sites:
Gd  0.0000  0.0000  0.0000 x4
Y  0.0000  0.0000  0.5000 x4
Ir  0.2500  0.2500  0.2500 x4
Rh  0.2500  0.2500  0.7500 x4

# 5
Entry from the Alexandria database: a relaxed MgOsI2 crystal (PBE-GGA).

**Crystal system**: cubic
**Formation energy (no corrections)**: 0.982 eV/atom
**Total magnetization**: 0.512 μB per atom
**Excess energy over the best structure of this formula in the dataset**: 235 meV per atom

Lattice parameters (Å, degrees): 7.1779 7.1779 7.1779 90.00 90.00 90.00
Space group Fm-3m (No. 225)
Unique sites:
Mg  0.0000  0.0000  0.0000 x4
Os  0.0000  0.0000  0.5000 x4
I  0.2500  0.2500  0.2500 x8

# 6
Entry from the Alexandria database: a relaxed TaOs2CF crystal (PBE-GGA).

**Crystal system**: tetragonal
**Formation energy (no corrections)**: 0.404 eV/atom
**Total magnetization**: 0.000 μB per atom

Lattice parameters (Å, degrees): 3.9361 3.9361 4.4138 90.00 90.00 90.00
Space group P4/mmm (No. 123)
Unique sites:
Ta  0.0000  0.0000  0.0000 x1
Os  0.0000  0.5000  0.5000 x2
C  0.5000  0.5000  0.5000 x1
F  0.5000  0.5000  0.0000 x1

# 7
Entry from the Alexandria database: a relaxed GdHoIn2 crystal (PBE-GGA).

**Crystal system**: trigonal
**Formation energy**: -1.29 eV/f.u.
**Total magnetization**: 1.785 μB per atom

Lattice parameters (Å, degrees): 3.6866 3.6866 29.3590 90.00 90.00 120.00
Space group R-3m (No. 166, hexagonal axes)
Unique sites:
Gd  0.0000  0.0000  0.0000 x3
Ho  0.0000  0.0000  0.5000 x3
In  0.0000  0.0000  0.2489 x6

# 8
Entry from the Alexandria database: a relaxed Sc2AgW crystal (PBE-GGA).

**Crystal system**: tetragonal
**Formation energy**: 3.13 eV/f.u.
**Total magnetization**: 0.000 μB per atom
**Excess energy over the best structure of this formula in the dataset**: 731 meV per atom

Lattice parameters (Å, degrees): 4.1457 4.1457 19.0116 90.00 90.00 90.00
Space group I-42d (No. 122)
Unique sites:
Sc  0.2406  0.2500  0.1250 x8
Ag  0.0000  0.0000  0.5000 x4
W  0.0000  0.0000  0.0000 x4

# 9
Entry from the Alexandria database: a relaxed AcTb4NdDy2 crystal (PBE-GGA).

**Crystal system**: monoclinic
**Formation energy**: 0.34 eV/f.u.
**Total magnetization**: 0.000 μB per atom

Lattice parameters (Å, degrees): 5.2191 5.1466 9.9454 90.00 90.76 90.00
Space group P2/m (No. 10)
Unique sites:
Ac  0.0000  0.0000  0.0000 x1
Tb  0.0011  0.5000  0.7427 x2
Tb  0.4990  0.0000  0.7445 x2
Nd  0.5000  0.5000  0.5000 x1
Dy  0.0000  0.0000  0.5000 x1
Dy  0.5000  0.5000  0.0000 x1

# 10
Entry from the Alexandria database: a relaxed ZrSiSe2 crystal (PBE-GGA).

**Crystal system**: tetragonal
**Formation energy (no corrections)**: -0.095 eV/atom
**Total magnetization**: 0.192 μB per atom

Lattice parameters (Å, degrees): 6.2537 6.2537 11.3086 90.00 90.00 90.00
Space group I-42d (No. 122)
Unique sites:
Zr  0.0000  0.0000  0.0000 x4
Si  0.0000  0.0000  0.5000 x4
Se  0.2471  0.2500  0.6250 x8

# 11
Entry from the Alexandria database: a relaxed TePtSe2 crystal (PBE-GGA).

**Crystal system**: monoclinic
**Formation energy (no corrections)**: -0.142 eV/atom
**Total magnetization**: 0.000 μB per atom

Lattice parameters (Å, degrees): 7.0245 3.9343 6.9971 90.00 96.97 90.00
Space group Cm (No. 8)
Unique sites:
Te  0.0000  0.0000  0.0000 x2
Pt  0.1914  0.5000  0.2078 x2
Se  0.2650  0.0000  0.7099 x2
Se  0.3752  0.0000  0.3835 x2

# 12
Entry from the Alexandria database: a relaxed TeOsSe2 crystal (PBE-GGA).

**Crystal system**: orthorhombic
**Formation energy (no corrections)**: 0.917 eV/atom
**Total magnetization**: 0.000 μB per atom

Lattice parameters (Å, degrees): 3.2134 4.8426 4.8914 90.00 90.00 90.00
Space group Pmmm (No. 47)
Unique sites:
Te  0.0000  0.0000  0.0000 x1
Os  0.5000  0.0000  0.5000 x1
Se  0.0000  0.5000  0.5000 x1
Se  0.5000  0.5000  0.0000 x1

What is the total magnetization in the third record?
0.000 μB per atom

What is the formula in the eighth record?
Sc2AgW